Version i
The following is a DFT calculation (PBE-GGA) of a geometry-optimized Rb4I2Br structure.

Output
Its symmetry is I4/mmm, No. 139. The density of states at the Fermi level comes out at 1.75 states/eV/f.u. The calculation puts the total magnetization at 0.000 μB/f.u. As for the theoretical density: 2.8 g/cm³.

Unit cell a=6.573 b=6.573 c=10.517 alpha=108.21 beta=108.21 gamma=90.00
Positions (direct):
1 I 0.616 0.616 0.233
2 I 0.384 0.384 0.767
3 Br 0.000 0.000 0.000
4 Rb 0.807 0.807 0.615
5 Rb 0.193 0.193 0.385
6 Rb 0.000 0.500 0.000
7 Rb 0.500 0.000 0.000

Version ii
The following is a DFT calculation (PBE-GGA) of a geometry-optimized Rb4I2Br structure.

Output
Its symmetry is R-3m, No. 166. The density of states at the Fermi level comes out at 1.46 states/eV/f.u. The calculation puts the total magnetization at 0.000 μB/f.u. As for the theoretical density: 2.9 g/cm³.

Unit cell a=5.125 b=5.125 c=17.459 alpha=81.56 beta=81.56 gamma=60.00
Positions (direct):
1 I 0.252 0.252 0.244
2 I 0.748 0.748 0.756
3 Br 0.000 0.000 0.000
4 Rb 0.125 0.125 0.624
5 Rb 0.875 0.875 0.376
6 Rb 0.371 0.371 0.886
7 Rb 0.629 0.629 0.114

Bottom line: version ii, by a margin of 96 meV per atom.

Version i
The following is a DFT calculation (PBE-GGA) of a geometry-optimized RbIBr4 structure.

Output
Its symmetry is P2_1/m, No. 11. The density of states at the Fermi level comes out at 1.07 states/eV/f.u. The calculation puts the total magnetization at 0.000 μB/f.u. As for the theoretical density: 3.0 g/cm³.

Unit cell a=6.078 b=10.059 c=10.572 alpha=90.00 beta=90.00 gamma=113.78
Positions (direct):
1 Rb 0.959 0.691 0.750
2 Rb 0.041 0.309 0.250
3 I 0.759 0.137 0.750
4 I 0.241 0.863 0.250
5 Br 0.557 0.836 0.750
6 Br 0.443 0.164 0.250
7 Br 0.250 0.123 0.750
8 Br 0.750 0.877 0.250
9 Br 0.083 0.622 0.070
10 Br 0.917 0.378 0.570
11 Br 0.083 0.622 0.430
12 Br 0.917 0.378 0.930

Version ii
The following is a DFT calculation (PBE-GGA) of a geometry-optimized RbIBr4 structure.

Output
Its symmetry is P-1, No. 2. The density of states at the Fermi level comes out at 0.00 states/eV/f.u. The calculation puts the total magnetization at 0.000 μB/f.u. As for the theoretical density: 3.6 g/cm³.

Unit cell a=6.169 b=7.551 c=11.857 alpha=77.85 beta=90.01 gamma=65.76
Positions (direct):
1 Rb 0.752 0.998 0.250
2 Rb 0.248 0.002 0.750
3 I 0.000 0.500 0.000
4 I 0.500 0.500 0.500
5 Br 0.803 0.903 0.925
6 Br 0.705 0.098 0.576
7 Br 0.197 0.097 0.075
8 Br 0.295 0.902 0.424
9 Br 0.308 0.524 0.154
10 Br 0.833 0.473 0.347
11 Br 0.692 0.476 0.846
12 Br 0.167 0.527 0.653

Bottom line: version ii, by a margin of 125 meV per atom.

Version i
The following is a DFT calculation (PBE-GGA) of a geometry-optimized Rb2IBr2 structure.

Output
Its symmetry is P4/mbm, No. 127. The density of states at the Fermi level comes out at 1.40 states/eV/f.u. The calculation puts the total magnetization at 0.391 μB/f.u. As for the theoretical density: 3.9 g/cm³.

Unit cell a=10.269 b=10.269 c=3.683 alpha=90.00 beta=90.00 gamma=90.00
Each line ends with the local moment (μB).
Positions (direct):
1 I 0.000 0.000 0.000  0.00
2 I 0.500 0.500 0.000  0.00
3 Br 0.137 0.637 0.500  0.15
4 Br 0.637 0.863 0.500  0.15
5 Br 0.863 0.363 0.500  0.15
6 Br 0.363 0.137 0.500  0.15
7 Rb 0.343 0.843 0.000  0.00
8 Rb 0.843 0.657 0.000  0.00
9 Rb 0.657 0.157 0.000  0.00
10 Rb 0.157 0.343 0.000  0.00

Version ii
The following is a DFT calculation (PBE-GGA) of a geometry-optimized Rb2IBr2 structure.

Output
Its symmetry is I4/mmm, No. 139. The density of states at the Fermi level comes out at 1.67 states/eV/f.u. The calculation puts the total magnetization at 0.000 μB/f.u. As for the theoretical density: 3.5 g/cm³.

Unit cell a=6.639 b=6.639 c=6.828 alpha=60.91 beta=60.91 gamma=90.00
Positions (direct):
1 I 0.000 0.000 0.000
2 Br 0.339 0.339 0.322
3 Br 0.661 0.661 0.678
4 Rb 0.750 0.250 0.500
5 Rb 0.250 0.750 0.500

Bottom line: version ii, by a margin of 55 meV per atom.

Version i
The following is a DFT calculation (PBE-GGA) of a geometry-optimized RbSe2IBr structure.

Output
Its symmetry is P4/mmm, No. 123. The density of states at the Fermi level comes out at 2.30 states/eV/f.u. The calculation puts the total magnetization at 0.000 μB/f.u. As for the theoretical density: 4.2 g/cm³.

Unit cell a=5.503 b=5.503 c=5.933 alpha=90.00 beta=90.00 gamma=90.00
Positions (direct):
1 I 0.000 0.000 0.000
2 Se 0.000 0.500 0.000
3 Se 0.500 0.000 0.000
4 Br 0.000 0.000 0.500
5 Rb 0.500 0.500 0.500

Version ii
The following is a DFT calculation (PBE-GGA) of a geometry-optimized RbSe2IBr structure.

Output
Its symmetry is P4/mmm, No. 123. The density of states at the Fermi level comes out at 9.01 states/eV/f.u. The calculation puts the total magnetization at 5.020 μB/f.u. As for the theoretical density: 2.6 g/cm³.

Unit cell a=6.763 b=6.763 c=6.317 alpha=90.00 beta=90.00 gamma=90.00
Each line ends with the local moment (μB).
Positions (direct):
1 I 0.500 0.500 0.500  0.53
2 Se 0.000 0.500 0.000  1.09
3 Se 0.500 0.000 0.000  1.09
4 Br 0.000 0.000 0.500  0.29
5 Rb 0.000 0.000 0.000  0.01

Bottom line: version i, by a margin of 744 meV per atom.

Version i
The following is a DFT calculation (PBE-GGA) of a geometry-optimized RbSnI2Br structure.

Output
Its symmetry is I4cm, No. 108. The calculation puts the total magnetization at 0.000 μB/f.u. As for the theoretical density: 3.9 g/cm³.

Unit cell a=8.742 b=8.742 c=8.571 alpha=120.66 beta=120.66 gamma=90.00
Positions (direct):
1 Rb 0.750 0.250 0.499
2 Rb 0.250 0.750 0.499
3 Sn 0.007 0.007 0.013
4 Sn 0.507 0.507 0.013
5 I 0.309 0.809 0.000
6 I 0.809 0.691 0.000
7 I 0.691 0.191 0.000
8 I 0.191 0.309 0.000
9 Br 0.744 0.744 0.488
10 Br 0.244 0.244 0.488

Version ii
The following is a DFT calculation (PBE-GGA) of a geometry-optimized RbSnI2Br structure.

Output
Its symmetry is P4/mmm, No. 123. The density of states at the Fermi level comes out at 0.00 states/eV/f.u. The calculation puts the total magnetization at 0.000 μB/f.u. As for the theoretical density: 3.9 g/cm³.

Unit cell a=6.277 b=6.277 c=5.832 alpha=90.00 beta=90.00 gamma=90.00
Positions (direct):
1 I 0.000 0.500 0.000
2 I 0.500 0.000 0.000
3 Br 0.000 0.000 0.500
4 Sn 0.000 0.000 0.000
5 Rb 0.500 0.500 0.500

Bottom line: version i, by a margin of 15 meV per atom.

Version i
The following is a DFT calculation (PBE-GGA) of a geometry-optimized RbTe2IBr structure.

Output
Its symmetry is P4/mmm, No. 123. The density of states at the Fermi level comes out at 7.51 states/eV/f.u. The calculation puts the total magnetization at 1.591 μB/f.u. As for the theoretical density: 3.6 g/cm³.

Unit cell a=5.576 b=5.576 c=8.115 alpha=90.00 beta=90.00 gamma=90.00
Each line ends with the local moment (μB).
Positions (direct):
1 I 0.000 0.000 0.500  0.10
2 Te 0.000 0.500 0.000  0.35
3 Te 0.500 0.000 0.000  0.35
4 Br 0.000 0.000 0.000  0.08
5 Rb 0.500 0.500 0.500  0.00

Version ii
The following is a DFT calculation (PBE-GGA) of a geometry-optimized RbTe2IBr structure.

Output
Its symmetry is P4/mmm, No. 123. The density of states at the Fermi level comes out at 10.50 states/eV/f.u. The calculation puts the total magnetization at 5.032 μB/f.u. As for the theoretical density: 2.6 g/cm³.

Unit cell a=7.244 b=7.244 c=6.724 alpha=90.00 beta=90.00 gamma=90.00
Each line ends with the local moment (μB).
Positions (direct):
1 I 0.000 0.000 0.500  0.29
2 Te 0.000 0.500 0.000  1.00
3 Te 0.500 0.000 0.000  1.00
4 Br 0.500 0.500 0.500  0.43
5 Rb 0.000 0.000 0.000  0.01

Bottom line: version i, by a margin of 611 meV per atom.